# 1
First-principles (GGA-PBE) data for a relaxed structure of La4Ce2Tl3, as listed in the Alexandria database.

Output
- Calculated volume: 32.95 Å³ per atom
- Formation enthalpy at 0 K: -0.16 eV per atom
- DOS(E_F): 35.4 states/eV/cell
- Space-group type: C2/c, No. 15

Cell and atoms, written as extended XYZ:
```
18
Lattice="5.5492 0.3410 1.1695 1.3403 10.3316 4.2751 0.4297 1.6136 11.1365" Properties=species:S:1:pos:R:3 pbc="T T T"
La 5.0215 10.7328 7.2729
Ce 1.3437 7.3697 11.9772
La 2.7460 6.1017 5.7602
La 2.2977 1.5534 9.3082
Ce 4.3668 9.8927 10.7134
Tl 6.8292 11.0251 12.5024
Tl 5.1728 7.4266 7.6393
Ce 2.9524 2.3935 5.8677
La 1.5383 3.7785 12.0315
La 5.2818 3.9962 8.1370
Ce 5.9755 4.9165 4.6039
Tl 0.4900 1.2611 4.0787
La 5.7809 8.5077 4.5496
Tl 2.1464 4.8596 8.9418
La 2.0374 8.2901 8.4441
La 4.5732 6.1845 10.8209
Tl 3.8087 8.5256 13.7496
Tl 3.5105 3.7606 2.8315
```

# 2
First-principles (GGA-PBE) data for a relaxed structure of La4CeTl2, as listed in the Alexandria database.

Output
- Calculated volume: 36.68 Å³ per atom
- Formation enthalpy at 0 K: 0.01 eV per atom
- DOS(E_F): 14.7 states/eV/cell
- Space-group type: R-3m, No. 166

Cell and atoms, written as extended XYZ:
```
7
Lattice="-3.6297 -3.6901 -2.2193 -0.6867 -5.0558 2.3841 -8.2519 0.5486 5.4383" Properties=species:S:1:pos:R:3 pbc="T T T"
La -5.5607 -0.8197 3.3118
La -2.7035 -2.2723 1.0542
Ce -6.2842 -4.0987 2.8016
Tl -4.0101 -5.2549 1.0047
La -7.0077 -7.3777 2.2913
La -9.8649 -5.9250 4.5489
Tl -8.5582 -2.9425 4.5984
```

# 3
First-principles (GGA-PBE) data for a relaxed structure of LaCe5Tl2, as listed in the Alexandria database.

Output
- Calculated volume: 28.46 Å³ per atom
- Formation enthalpy at 0 K: -0.13 eV per atom
- DOS(E_F): 24.6 states/eV/cell
- Space-group type: I4mm, No. 107

Cell and atoms, written as extended XYZ:
```
8
Lattice="5.9741 -0.0002 -3.2679 -1.7873 5.7005 -3.2679 -0.1205 -0.1642 6.8742" Properties=species:S:1:pos:R:3 pbc="T T T"
Tl 3.8658 1.1963 -0.0275
Ce 0.1576 3.7882 3.4048
Ce 2.7823 3.7881 1.9691
Tl -0.0149 4.0467 -0.0276
La 0.7199 0.9803 1.3161
Ce 3.5675 1.2836 3.4048
Ce 3.1226 4.2514 -1.3865
Ce 0.9429 1.2836 4.8406
```

# 4
First-principles (GGA-PBE) data for a relaxed structure of La3Ce2Tl6, as listed in the Alexandria database.

Output
- Calculated volume: 31.70 Å³ per atom
- Formation enthalpy at 0 K: -0.16 eV per atom
- DOS(E_F): 15.0 states/eV/cell
- Space-group type: I4/mmm, No. 139

Cell and atoms, written as extended XYZ:
```
11
Lattice="4.9082 0.0000 0.0000 0.0000 4.9082 0.0000 -2.4541 -2.4541 14.4727" Properties=species:S:1:pos:R:3 pbc="T T T"
La 0.0000 0.0000 0.0000
Tl 2.4541 0.0000 11.1890
Tl 0.0000 0.0000 8.9811
La 2.4541 2.4541 8.7438
La 0.0000 0.0000 5.7289
Tl 0.0000 2.4541 3.2836
Tl 2.4541 2.4541 5.4916
Ce 2.4541 2.4541 1.2872
Tl 0.0000 2.4541 11.1890
Tl 2.4541 0.0000 3.2836
Ce 0.0000 0.0000 13.1854
```

# 5
First-principles (GGA-PBE) data for a relaxed structure of La3CeTl4, as listed in the Alexandria database.

Output
- Calculated volume: 31.22 Å³ per atom
- Formation enthalpy at 0 K: -0.37 eV per atom
- DOS(E_F): 14.9 states/eV/cell
- Space-group type: P4/mmm, No. 123

Cell and atoms, written as extended XYZ:
```
8
Lattice="-3.0668 -0.2646 2.4999 2.4940 -0.8155 2.9732 1.2646 15.5052 3.1922" Properties=species:S:1:pos:R:3 pbc="T T T"
Tl 1.1129 13.6449 2.8092
Ce -0.2864 -0.5400 2.7366
Tl 0.4715 5.7812 1.1902
Tl 0.1517 1.8604 0.3830
La 0.3459 7.2126 4.3326
La 0.6663 11.1411 5.1414
Tl 0.7931 9.7240 2.0019
La 0.0255 3.2841 3.5239
```

# 6
First-principles (GGA-PBE) data for a relaxed structure of La3CeTl2, as listed in the Alexandria database.

Output
- Calculated volume: 30.86 Å³ per atom
- Formation enthalpy at 0 K: -0.20 eV per atom
- DOS(E_F): 40.0 states/eV/cell
- Distance to the lowest polymorph of the same formula: 0 meV per atom
- Space-group type: Pnma, No. 62

Cell and atoms, written as extended XYZ:
```
24
Lattice="3.6801 0.0000 0.0000 0.0000 9.1741 0.0000 0.0000 0.0000 21.9356" Properties=species:S:1:pos:R:3 pbc="T T T"
Tl 2.7601 7.3114 6.7080
La 0.9200 3.2925 11.8625
Tl 0.9200 6.9408 12.6429
Ce 2.7601 5.1611 20.4236
La 0.9200 4.4056 7.3546
Tl 2.7601 2.7244 4.2598
La 2.7601 5.8816 10.0732
Tl 0.9200 2.3537 20.2606
La 0.9200 5.6306 4.2832
Tl 2.7601 2.2333 9.2927
Ce 2.7601 0.5741 12.4799
Tl 0.9200 6.4497 17.6759
La 2.7601 0.1814 18.3224
La 0.9200 1.0436 6.6847
Tl 0.9200 1.8627 15.2276
La 0.9200 7.8796 21.0410
Ce 0.9200 4.0130 1.5121
Tl 2.7601 6.8204 1.6751
La 2.7601 1.2945 0.8946
La 2.7601 4.7685 14.5811
La 2.7601 8.1305 15.2510
La 0.9200 8.9926 3.6133
La 2.7601 3.5435 17.6525
Ce 0.9200 8.6000 9.4557
```

# 7
First-principles (GGA-PBE) data for a relaxed structure of La9CeTl2, as listed in the Alexandria database.

Output
- Calculated volume: 33.13 Å³ per atom
- Formation enthalpy at 0 K: -0.14 eV per atom
- DOS(E_F): 18.5 states/eV/cell
- Space-group type: P4/mmm, No. 123

Cell and atoms, written as extended XYZ:
```
12
Lattice="5.0825 0.0000 0.0000 0.0000 5.0825 0.0000 0.0000 0.0000 15.3884" Properties=species:S:1:pos:R:3 pbc="T T T"
La 0.0000 2.5412 7.6942
Ce 0.0000 0.0000 0.0000
La 2.5412 0.0000 2.5492
La 2.5412 0.0000 12.8392
Tl 0.0000 0.0000 5.1529
La 2.5412 2.5412 0.0000
La 2.5412 2.5412 5.1655
Tl 0.0000 0.0000 10.2355
La 2.5412 2.5412 10.2230
La 0.0000 2.5412 12.8392
La 2.5412 0.0000 7.6942
La 0.0000 2.5412 2.5492
```

# 8
First-principles (GGA-PBE) data for a relaxed structure of LaCeTl6, as listed in the Alexandria database.

Output
- Calculated volume: 28.74 Å³ per atom
- Formation enthalpy at 0 K: -0.30 eV per atom
- DOS(E_F): 8.4 states/eV/cell
- Space-group type: P4/mmm, No. 123

Cell and atoms, written as extended XYZ:
```
8
Lattice="-3.6106 3.0423 1.1553 -2.9193 -2.2655 -3.1578 -2.8786 -6.0845 7.0263" Properties=species:S:1:pos:R:3 pbc="T T T"
Tl -2.5337 -0.0185 2.3556
Tl -3.6098 -5.6776 3.6694
Tl -3.9555 -3.0237 5.8260
Tl -3.2650 0.3884 -1.0013
Tl -4.7043 -2.6539 2.5119
Ce -1.4393 -3.0423 3.5132
Tl -2.1881 -2.6724 0.1991
La 0.0000 0.0000 0.0000
```

# 9
First-principles (GGA-PBE) data for a relaxed structure of La8CeTl5, as listed in the Alexandria database.

Output
- Calculated volume: 32.86 Å³ per atom
- Formation enthalpy at 0 K: -0.21 eV per atom
- DOS(E_F): 17.0 states/eV/cell
- Space-group type: I-4, No. 82

Cell and atoms, written as extended XYZ:
```
14
Lattice="-6.1986 -5.4166 -1.7936 6.2440 -3.9276 4.0701 -3.2543 6.1051 4.8080" Properties=species:S:1:pos:R:3 pbc="T T T"
La -1.2404 -0.2128 2.6161
Ce -0.8684 1.2608 5.1926
Tl -4.2204 -6.0618 0.1642
La 0.0857 -3.6375 2.6273
Tl -2.6561 -2.7783 4.3196
La -1.1032 -1.2641 6.7795
Tl -4.7264 0.3442 1.5072
La 0.5099 2.6612 7.4482
Tl -0.8890 -6.7917 3.1563
La -1.6397 3.8591 3.9267
La -4.1747 0.4625 4.7378
La -4.4741 -2.9256 1.5175
La 2.1454 -0.3777 5.2864
Tl -1.5965 -2.3682 -0.0727
```

# 10
First-principles (GGA-PBE) data for a relaxed structure of LaCeTl2, as listed in the Alexandria database.

Output
- Calculated volume: 30.79 Å³ per atom
- Formation enthalpy at 0 K: -0.30 eV per atom
- DOS(E_F): 10.3 states/eV/cell
- Distance to the lowest polymorph of the same formula: 21 meV per atom
- Space-group type: Fm-3m, No. 225

Cell and atoms, written as extended XYZ:
```
4
Lattice="-1.4476 -5.3232 -0.8677 0.7159 -3.7832 4.0448 -4.4333 -2.1518 2.6270" Properties=species:S:1:pos:R:3 pbc="T T T"
Ce 0.0000 0.0000 0.0000
La -2.5825 -5.6291 2.9020
Tl -1.2912 -2.8146 1.4510
Tl -3.8737 -8.4437 4.3530
```

# 11
First-principles (GGA-PBE) data for a relaxed structure of LaCe2Tl, as listed in the Alexandria database.

Output
- Calculated volume: 30.20 Å³ per atom
- Formation enthalpy at 0 K: -0.17 eV per atom
- DOS(E_F): 17.3 states/eV/cell
- Distance to the lowest polymorph of the same formula: 0 meV per atom
- Space-group type: P2_1/m, No. 11

Cell and atoms, written as extended XYZ:
```
8
Lattice="4.7526 0.0000 0.1158 0.0000 4.3411 0.0000 -1.9906 0.0000 11.6600" Properties=species:S:1:pos:R:3 pbc="T T T"
Ce 4.5396 3.2558 1.3330
Ce 0.0376 3.2558 10.4004
La 2.5497 3.2558 4.6706
Ce -1.7775 1.0853 10.4428
La 0.2124 1.0853 7.1052
Ce 2.7245 1.0853 1.3754
Tl 2.5319 3.2558 8.0822
Tl 0.2302 1.0853 3.6936
```

# 12
First-principles (GGA-PBE) data for a relaxed structure of LaCe2Tl9, as listed in the Alexandria database.

Output
- Calculated volume: 28.54 Å³ per atom
- Formation enthalpy at 0 K: -0.28 eV per atom
- DOS(E_F): 15.7 states/eV/cell
- Space-group type: P4/mmm, No. 123

Cell and atoms, written as extended XYZ:
```
12
Lattice="-2.4861 -4.0205 1.0888 2.2190 -0.2053 4.3086 -10.5757 8.1194 5.8335" Properties=species:S:1:pos:R:3 pbc="T T T"
Tl -3.0350 -0.6345 1.5328
Tl -6.5309 2.0494 3.4611
Tl -7.1704 3.2896 6.5802
Tl -7.6743 6.6410 6.9994
Tl -10.0268 4.7334 5.3895
Tl -0.1335 -2.1129 2.6987
Tl -3.6724 0.6040 4.6508
Tl -0.6824 1.2731 3.1427
Ce -7.0348 5.4009 3.8803
Ce -3.5409 2.7185 1.9532
Tl -4.1783 3.9571 5.0711
La 0.0000 0.0000 0.0000
```

# 13
First-principles (GGA-PBE) data for a relaxed structure of LaCe2Tl2, as listed in the Alexandria database.

Output
- Calculated volume: 30.57 Å³ per atom
- Formation enthalpy at 0 K: -0.18 eV per atom
- DOS(E_F): 9.6 states/eV/cell
- Space-group type: C2/m, No. 12

Cell and atoms, written as extended XYZ:
```
5
Lattice="-0.5447 3.7716 2.3279 -0.4866 -2.4747 3.6851 8.0331 -0.2581 -1.5314" Properties=species:S:1:pos:R:3 pbc="T T T"
Ce 3.4845 2.2889 1.8563
Ce 3.5174 -1.2500 2.6252
Tl 6.0525 0.3291 1.2557
Tl 0.9494 0.7098 3.2258
La 0.0000 0.0000 0.0000
```

# 14
First-principles (GGA-PBE) data for a relaxed structure of La2CeTl3, as listed in the Alexandria database.

Output
- Calculated volume: 31.07 Å³ per atom
- Formation enthalpy at 0 K: -0.35 eV per atom
- DOS(E_F): 12.4 states/eV/cell
- Distance to the lowest polymorph of the same formula: 0 meV per atom
- Space-group type: P4/mmm, No. 123

Cell and atoms, written as extended XYZ:
```
6
Lattice="-2.9930 1.7182 -1.9154 -2.1174 0.0248 3.3309 4.4321 10.7719 2.7372" Properties=species:S:1:pos:R:3 pbc="T T T"
Tl 0.0000 0.0000 0.0000
La 1.1263 9.8191 2.9814
La -1.8046 2.6958 1.1713
Ce -0.3391 6.2574 2.0764
Tl 1.5022 3.6510 0.9277
Tl 2.9299 7.1209 1.8095
```

# 15
First-principles (GGA-PBE) data for a relaxed structure of La4CeTl3, as listed in the Alexandria database.

Output
- Calculated volume: 31.69 Å³ per atom
- Formation enthalpy at 0 K: -0.26 eV per atom
- DOS(E_F): 12.8 states/eV/cell
- Space-group type: I4/mmm, No. 139

Cell and atoms, written as extended XYZ:
```
8
Lattice="-0.5244 1.3558 -4.9539 5.0624 0.9768 -0.2686 -0.6731 -10.1648 -0.0205" Properties=species:S:1:pos:R:3 pbc="T T T"
La 1.1847 -6.6820 -1.9542
Tl 2.5312 0.4884 -0.1343
Tl 3.3259 -3.9982 -1.4463
La 2.6802 -1.1502 -3.2888
La 0.4103 -2.3167 -0.6775
Tl 0.5390 -3.8340 -3.7966
Ce -0.2622 0.6779 -2.4769
La 3.4546 -5.5155 -4.5655
```

# 16
First-principles (GGA-PBE) data for a relaxed structure of LaCeTl2, as listed in the Alexandria database.

Output
- Calculated volume: 30.00 Å³ per atom
- Formation enthalpy at 0 K: -0.32 eV per atom
- DOS(E_F): 9.3 states/eV/cell
- Distance to the lowest polymorph of the same formula: 5 meV per atom
- Space-group type: P4/mmm, No. 123

Cell and atoms, written as extended XYZ:
```
4
Lattice="-1.1434 3.3814 2.9167 -1.3058 -3.4671 3.5076 4.7668 0.0438 1.8179" Properties=species:S:1:pos:R:3 pbc="T T T"
Tl 2.3834 0.0219 0.9090
La -0.5717 1.6907 1.4583
Tl -0.6529 -1.7335 1.7538
Ce 1.1588 -0.0210 4.1211
```

# 17
First-principles (GGA-PBE) data for a relaxed structure of La3CeTl2, as listed in the Alexandria database.

Output
- Calculated volume: 33.25 Å³ per atom
- Formation enthalpy at 0 K: -0.17 eV per atom
- DOS(E_F): 21.7 states/eV/cell
- Distance to the lowest polymorph of the same formula: 33 meV per atom
- Space-group type: C2/c, No. 15

Cell and atoms, written as extended XYZ:
```
12
Lattice="-6.4838 0.4088 -1.7521 1.7822 -1.6780 -6.9868 1.8655 -7.5724 4.2505" Properties=species:S:1:pos:R:3 pbc="T T T"
La -2.4711 -5.8283 -5.1138
Ce -3.7106 -0.9403 -6.6040
Tl -2.5938 -2.7045 -3.9321
La 0.5373 -3.8530 -2.8651
Tl -3.4955 -1.8649 -0.4415
Tl 0.6594 -6.9767 -4.0469
La -0.0742 -1.1695 -5.6214
La -3.3734 -4.9886 -1.6234
La -4.6274 -0.0996 -3.1176
Ce -0.9910 -0.3289 -2.1349
Tl -0.2423 -6.1371 -0.5564
La -0.3650 -3.0133 0.6253
```

# 18
First-principles (GGA-PBE) data for a relaxed structure of La6CeTl3, as listed in the Alexandria database.

Output
- Calculated volume: 32.28 Å³ per atom
- Formation enthalpy at 0 K: -0.16 eV per atom
- DOS(E_F): 22.2 states/eV/cell
- Distance to the lowest polymorph of the same formula: 66 meV per atom
- Space-group type: Cmc2_1, No. 36

Cell and atoms, written as extended XYZ:
```
20
Lattice="5.9596 0.0000 0.0000 0.0000 10.8130 -0.9744 0.0000 -3.3627 10.3229" Properties=species:S:1:pos:R:3 pbc="T T T"
La 0.8366 3.4154 2.4475
La 3.8164 1.6236 3.8754
La 3.8117 0.3922 7.3304
La 0.8366 5.8266 5.4731
La 2.1797 -2.8613 9.9233
Tl 3.7934 5.2487 3.4600
La 0.8319 7.0580 2.0181
La 5.1595 10.3115 -0.5748
La 1.0166 1.0997 9.2224
Ce 2.6302 8.7695 0.6542
Tl 3.8149 3.1173 0.7675
Tl 0.8351 0.0525 3.2099
Tl 0.8136 2.2015 5.8885
Ce 5.6100 -1.3192 8.6943
La 3.9964 6.3506 0.1261
La 3.8164 4.0349 6.9010
Tl 3.8149 7.3977 6.1386
La 1.0166 -1.2942 6.2186
Tl 0.8351 4.3330 8.5810
La 3.9964 8.7445 3.1299
```

# 19
First-principles (GGA-PBE) data for a relaxed structure of La2Ce2Tl7, as listed in the Alexandria database.

Output
- Calculated volume: 31.47 Å³ per atom
- Formation enthalpy at 0 K: -0.16 eV per atom
- DOS(E_F): 20.0 states/eV/cell
- Space-group type: C2/m, No. 12

Cell and atoms, written as extended XYZ:
```
11
Lattice="-3.2633 -7.5424 0.9976 3.0157 -0.8747 -4.1552 6.8957 -2.5970 3.7732" Properties=species:S:1:pos:R:3 pbc="T T T"
Tl 1.9751 -9.0315 -0.8854
Tl 5.9894 -5.6570 3.2300
Tl 3.2012 -4.9227 1.6434
La 2.3330 -2.7408 -0.9938
Tl 4.6730 -1.9826 1.5011
Tl 3.4469 -6.0915 -1.0277
Ce 6.4633 -4.3925 0.2865
Tl 0.6587 -5.3571 -2.6143
Tl 0.0000 0.0000 0.0000
La 4.3151 -8.2734 1.6094
Ce 0.1848 -6.6217 0.3291
```

# 20
First-principles (GGA-PBE) data for a relaxed structure of LaCeTm2Tl4, as listed in the Alexandria database.

Output
- Calculated volume: 28.64 Å³ per atom
- Formation enthalpy at 0 K: -0.31 eV per atom
- DOS(E_F): 11.8 states/eV/cell
- Space-group type: R-3m, No. 166

Cell and atoms, written as extended XYZ:
```
8
Lattice="-3.8014 -0.2240 3.8967 1.1057 -2.4332 4.7478 2.0197 6.8648 6.1740" Properties=species:S:1:pos:R:3 pbc="T T T"
Tl 0.7469 4.9851 8.6332
Tm -0.1671 1.0569 3.7067
La 0.0000 0.0000 0.0000
Tm -0.5088 3.1507 11.1117
Ce -0.3380 2.1038 7.4092
Tl -1.5936 0.2697 9.8879
Tl -1.4229 -0.7776 6.1852
Tl 0.9177 3.9379 4.9306
```